No. 1
Here is ZnInAgF6 after structural relaxation from Alexandria. Energies are from PBE-GGA.

The structure belongs to space group P-31c (No. 163); the cell edges are 5.6111, 5.6111 and 10.2406 Å and the angles 90.00°, 90.00° and 120.00°. The asymmetric unit holds Zn at (0.3333, 0.6667, 0.2500), In at (0.3333, 0.6667, 0.7500), Ag at (0.0000, 0.0000, 0.0000) and F at (0.0058, 0.3711, 0.1417).

The total magnetic moment is 0.11 μB/cell. Its uncorrected formation energy is -203.1 kJ per mole of atoms. For the mass density, the calculation gives 4.782 g/cm3.

No. 2
Here is AgIrF7 after structural relaxation from Alexandria. Energies are from PBE-GGA.

The structure belongs to space group Pnma (No. 62); the cell edges are 7.939, 7.322 and 10.615 Å and the angles 90.00°, 90.00° and 90.00°. The asymmetric unit holds Ag at (0.148, 0.250, 0.244), Ir at (0.194, 0.750, 0.059), F at (0.024, 0.250, 0.014), F at (0.091, 0.250, 0.632), F at (0.100, 0.750, 0.695), F at (0.120, 0.569, 0.178) and F at (0.236, 0.071, 0.439).

The total magnetic moment is 8.52 μB/cell. Its uncorrected formation energy is -134.1 kJ per mole of atoms. For the density of states at the Fermi level, the calculation gives 19.17 states/eV/cell. For the mass density, the calculation gives 4.662 g/cm3.

No. 3
Here is AgIr2F11 after structural relaxation from Alexandria. Energies are from PBE-GGA.

The structure belongs to space group Ibam (No. 72); the cell edges are 9.220, 9.235 and 10.565 Å and the angles 90.00°, 90.00° and 90.00°. The asymmetric unit holds Ag at (0.000, 0.000, 0.250), Ir at (0.154, 0.344, 0.000), F at (0.000, 0.500, 0.000), F at (0.051, 0.240, 0.128), F at (0.204, 0.300, 0.500) and F at (0.240, 0.055, 0.372).

The total magnetic moment is 16.02 μB/cell. Its uncorrected formation energy is -135.2 kJ per mole of atoms. For the density of states at the Fermi level, the calculation gives 25.10 states/eV/cell. For the mass density, the calculation gives 5.178 g/cm3.

No. 4
Here is AgIrF5 after structural relaxation from Alexandria. Energies are from PBE-GGA.

The structure belongs to space group C2/c (No. 15); the cell edges are 8.886, 7.009 and 7.611 Å and the angles 90.00°, 110.45° and 90.00°. The asymmetric unit holds Ag at (0.000, 0.020, 0.250), Ir at (0.000, 0.500, 0.000), F at (0.000, 0.401, 0.250), F at (0.062, 0.235, 0.981) and F at (0.223, 0.422, 0.621).

The total magnetic moment is 4.07 μB/cell. Its uncorrected formation energy is -128.8 kJ per mole of atoms. For the density of states at the Fermi level, the calculation gives 9.63 states/eV/cell. For the mass density, the calculation gives 5.908 g/cm3.

No. 5
Here is Ag2IrF2 after structural relaxation from Alexandria. Energies are from PBE-GGA.

The structure belongs to space group I4/mmm (No. 139); the cell edges are 3.438, 3.438 and 12.193 Å and the angles 90.00°, 90.00° and 90.00°. The asymmetric unit holds Ag at (0.000, 0.000, 0.123), Ir at (0.000, 0.000, 0.500) and F at (0.000, 0.500, 0.250).

The total magnetic moment is 3.88 μB/cell. Its uncorrected formation energy is -5.2 kJ per mole of atoms. For the density of states at the Fermi level, the calculation gives 9.78 states/eV/cell. For the mass density, the calculation gives 10.276 g/cm3. The distance to the lowest polymorph of the same formula comes out at 0.00 eV per formula unit.

No. 6
Here is Ag3IrF after structural relaxation from Alexandria. Energies are from PBE-GGA.

The structure belongs to space group Pm-3m (No. 221); the cell edges are 5.120, 5.120 and 5.120 Å and the angles 90.00°, 90.00° and 90.00°. The asymmetric unit holds Ag at (0.000, 0.000, 0.500), Ir at (0.000, 0.000, 0.000) and F at (0.500, 0.500, 0.500).

The total magnetic moment is 1.08 μB/cell. Its uncorrected formation energy is 89.1 kJ per mole of atoms. For the density of states at the Fermi level, the calculation gives 3.97 states/eV/cell. For the mass density, the calculation gives 6.617 g/cm3. The distance to the lowest polymorph of the same formula comes out at 1.81 eV per formula unit.